Record 1
## Li4Ce3Au4 (GGA-PBE)

Data for an optimized crystal structure of Li4Ce3Au4.

Properties
DFT total energy	-87.8	eV per cell
DFT formation energy	-0.49	eV per atom

The structure in CIF format:
```
data_Li4Ce3Au4
_symmetry_space_group_name_H-M 'I m m m'
_symmetry_Int_Tables_number 71
_symmetry_space_group_name_Hall '-I 2 2'
_cell_length_a 4.1579
_cell_length_b 7.8780
_cell_length_c 14.4687
_cell_angle_alpha 90.00
_cell_angle_beta 90.00
_cell_angle_gamma 90.00
loop_
_atom_site_label
_atom_site_type_symbol
_atom_site_fract_x
_atom_site_fract_y
_atom_site_fract_z
_atom_site_occupancy
Li1 Li 0.0000 0.1936 0.1784 1
Ce1 Ce 0.0000 0.0000 0.3792 1
Ce2 Ce 0.0000 0.5000 0.5000 1
Au1 Au 0.0000 0.3011 0.0000 1
Au2 Au 0.0000 0.5000 0.2798 1
```

Record 2
## Ac3Hg (GGA-PBE)

Data for an optimized crystal structure of Ac3Hg.

Properties
DFT total energy	-50.5	eV per cell
DFT formation energy	0.00	eV per atom
energy above the most stable polymorph in this dataset	237	meV per atom

The structure in CIF format:
```
data_Ac3Hg
_symmetry_space_group_name_H-M 'F m -3 m'
_symmetry_Int_Tables_number 225
_symmetry_space_group_name_Hall '-F 4 2 3'
_cell_length_a 8.4964
_cell_length_b 8.4964
_cell_length_c 8.4964
_cell_angle_alpha 90.00
_cell_angle_beta 90.00
_cell_angle_gamma 90.00
loop_
_atom_site_label
_atom_site_type_symbol
_atom_site_fract_x
_atom_site_fract_y
_atom_site_fract_z
_atom_site_occupancy
Ac1 Ac 0.0000 0.0000 0.0000 1
Ac2 Ac 0.2500 0.2500 0.2500 1
Hg1 Hg 0.0000 0.0000 0.5000 1
```